Entry 1:
# Tb3Nd2Y5 (PBE, optimized geometry)
data_Tb3Nd2Y5
_chemical_formula_sum 'Tb12 Nd8 Y20'
_cell_length_a 10.710
_cell_length_b 16.305
_cell_length_c 9.344
_cell_angle_alpha 90.00
_cell_angle_beta 124.96
_cell_angle_gamma 90.00
_space_group_name_H-M_alt 'C 1 2/c 1'
_space_group_IT_number 15
loop_
_space_group_symop_operation_xyz
'x,y,z'
'-x,-y,-z'
'-x,y,-z+1/2'
'x,-y,z+1/2'
'x+1/2,y+1/2,z'
'-x+1/2,-y+1/2,-z'
'-x+1/2,y+1/2,-z+1/2'
'x+1/2,-y+1/2,z+1/2'
loop_
_atom_site_label
_atom_site_fract_x
_atom_site_fract_y
_atom_site_fract_z
Tb1 0.000 0.024 0.250
Tb2 0.154 0.377 0.549
Nd1 0.143 0.125 0.044
Y1 0.000 0.229 0.250
Y2 0.000 0.275 0.750
Y3 0.000 0.474 0.750
Y4 0.240 0.378 0.235
# calculated volume: 33.43 Å³ per atom
# relative energy among the computed polymorphs: 0.00 kJ/mol of atoms
# energy of formation: 0.18 eV per atom

=====

Entry 2:
# Pm2Al3Au9 (PBE, optimized geometry)
data_Pm2Al3Au9
_chemical_formula_sum 'Pm8 Al12 Au36'
_cell_length_a 13.865
_cell_length_b 7.934
_cell_length_c 10.956
_cell_angle_alpha 90.00
_cell_angle_beta 115.35
_cell_angle_gamma 90.00
_space_group_name_H-M_alt 'C 1 2/c 1'
_space_group_IT_number 15
loop_
_space_group_symop_operation_xyz
'x,y,z'
'-x,-y,-z'
'-x,y,-z+1/2'
'x,-y,z+1/2'
'x+1/2,y+1/2,z'
'-x+1/2,-y+1/2,-z'
'-x+1/2,y+1/2,-z+1/2'
'x+1/2,-y+1/2,z+1/2'
loop_
_atom_site_label
_atom_site_fract_x
_atom_site_fract_y
_atom_site_fract_z
Pm1 0.168 0.083 0.247
Al1 0.086 0.238 0.498
Al2 0.250 0.250 0.000
Au1 0.000 0.355 0.250
Au2 0.060 0.083 0.928
Au3 0.106 0.413 0.066
Au4 0.111 0.307 0.744
Au5 0.227 0.418 0.435
# calculated volume: 19.45 Å³ per atom
# energy of formation: -0.61 eV per atom

=====

Entry 3:
# ScTcNi (PBE, optimized geometry)
data_ScTcNi
_chemical_formula_sum 'Sc1 Tc1 Ni1'
_cell_length_a 2.8619
_cell_length_b 2.8619
_cell_length_c 6.5307
_cell_angle_alpha 90.00
_cell_angle_beta 90.00
_cell_angle_gamma 120.00
_space_group_name_H-M_alt 'P 3 m 1'
_space_group_IT_number 156
loop_
_space_group_symop_operation_xyz
'x,y,z'
'-y,x-y,z'
'-x+y,-x,z'
'-y,-x,z'
'-x+y,y,z'
'x,x-y,z'
loop_
_atom_site_label
_atom_site_fract_x
_atom_site_fract_y
_atom_site_fract_z
Sc1 0.0000 0.0000 0.0000
Tc1 0.3333 0.6667 0.3630
Ni1 0.6667 0.3333 0.6694
# calculated volume: 15.44 Å³ per atom
# relative energy among the computed polymorphs: 52.85 kJ/mol of atoms
# energy of formation: 0.19 eV per atom

=====

Entry 4:
# Tb2Ce3DyAs6 (PBE, optimized geometry)
data_Tb2Ce3DyAs6
_chemical_formula_sum 'Tb4 Ce6 Dy2 As12'
_cell_length_a 7.233
_cell_length_b 12.528
_cell_length_c 7.221
_cell_angle_alpha 90.00
_cell_angle_beta 109.51
_cell_angle_gamma 90.00
_space_group_name_H-M_alt 'C 1 2/m 1'
_space_group_IT_number 12
loop_
_space_group_symop_operation_xyz
'x,y,z'
'-x,-y,-z'
'-x,y,-z'
'x,-y,z'
'x+1/2,y+1/2,z'
'-x+1/2,-y+1/2,-z'
'-x+1/2,y+1/2,-z'
'x+1/2,-y+1/2,z'
loop_
_atom_site_label
_atom_site_fract_x
_atom_site_fract_y
_atom_site_fract_z
Tb1 0.000 0.167 0.000
Ce1 0.000 0.000 0.500
Ce2 0.000 0.333 0.500
Dy1 0.000 0.500 0.000
As1 0.248 0.334 0.247
As2 0.250 0.000 0.247
# calculated volume: 25.70 Å³ per atom
# energy of formation: -1.48 eV per atom

=====

Entry 5:
# Pu2TlHg3 (PBE, optimized geometry)
data_Pu2TlHg3
_chemical_formula_sum 'Pu4 Tl2 Hg6'
_cell_length_a 3.213
_cell_length_b 4.890
_cell_length_c 21.055
_cell_angle_alpha 90.00
_cell_angle_beta 90.00
_cell_angle_gamma 90.00
_space_group_name_H-M_alt 'I m m 2'
_space_group_IT_number 44
loop_
_space_group_symop_operation_xyz
'x,y,z'
'-x,-y,z'
'-x,y,z'
'x,-y,z'
'x+1/2,y+1/2,z+1/2'
'-x+1/2,-y+1/2,z+1/2'
'-x+1/2,y+1/2,z+1/2'
'x+1/2,-y+1/2,z+1/2'
loop_
_atom_site_label
_atom_site_fract_x
_atom_site_fract_y
_atom_site_fract_z
Pu1 0.000 0.000 0.000
Pu2 0.000 0.500 0.229
Tl1 0.000 0.500 0.652
Hg1 0.000 0.000 0.424
Hg2 0.000 0.000 0.573
Hg3 0.000 0.500 0.805
# calculated volume: 27.57 Å³ per atom
# energy of formation: 0.02 eV per atom

=====

Entry 6:
# TlCdBrCl2 (PBE, optimized geometry)
data_TlCdBrCl2
_chemical_formula_sum 'Tl1 Cd1 Br1 Cl2'
_cell_length_a 5.224
_cell_length_b 5.224
_cell_length_c 5.571
_cell_angle_alpha 90.00
_cell_angle_beta 90.00
_cell_angle_gamma 90.00
_space_group_name_H-M_alt 'P 4/m m m'
_space_group_IT_number 123
_space_group_name_Hall '-P 4 2'
loop_
_atom_site_label
_atom_site_fract_x
_atom_site_fract_y
_atom_site_fract_z
Tl1 0.000 0.000 0.000
Cd1 0.500 0.500 0.500
Br1 0.500 0.500 0.000
Cl1 0.000 0.500 0.500
# calculated volume: 30.41 Å³ per atom
# E_form (uncorrected): -0.94 eV/atom
# relative energy among the computed polymorphs: 1.13 kJ/mol of atoms

=====

Entry 7:
# K6I2Br2O (PBE, optimized geometry)
data_K6I2Br2O
_chemical_formula_sum 'K12 I4 Br4 O2'
_cell_length_a 8.324
_cell_length_b 13.521
_cell_length_c 8.424
_cell_angle_alpha 90.00
_cell_angle_beta 109.49
_cell_angle_gamma 90.00
_space_group_name_H-M_alt 'C 1 2/m 1'
_space_group_IT_number 12
loop_
_space_group_symop_operation_xyz
'x,y,z'
'-x,-y,-z'
'-x,y,-z'
'x,-y,z'
'x+1/2,y+1/2,z'
'-x+1/2,-y+1/2,-z'
'-x+1/2,y+1/2,-z'
'x+1/2,-y+1/2,z'
loop_
_atom_site_label
_atom_site_fract_x
_atom_site_fract_y
_atom_site_fract_z
K1 0.190 0.000 0.307
K2 0.200 0.147 0.693
I1 0.000 0.183 0.000
Br1 0.000 0.343 0.500
O1 0.000 0.000 0.500
# calculated volume: 40.62 Å³ per atom
# E_form (uncorrected): -1.44 eV/atom

=====

Entry 8:
# TlC (PBE, optimized geometry)
data_TlC
_chemical_formula_sum 'Tl4 C4'
_cell_length_a 2.684
_cell_length_b 6.805
_cell_length_c 10.468
_cell_angle_alpha 90.00
_cell_angle_beta 90.00
_cell_angle_gamma 90.00
_space_group_name_H-M_alt 'C m m e'
_space_group_IT_number 67
_space_group_name_Hall '-C 2a 2'
loop_
_atom_site_label
_atom_site_fract_x
_atom_site_fract_y
_atom_site_fract_z
Tl1 0.000 0.250 0.165
C1 0.000 0.250 0.500
# calculated volume: 23.90 Å³ per atom
# relative energy among the computed polymorphs: 1.94 kJ/mol of atoms
# energy of formation: 0.80 eV per atom

=====

Entry 9:
# ScAlTe2 (PBE, optimized geometry)
data_ScAlTe2
_chemical_formula_sum 'Sc4 Al4 Te8'
_cell_length_a 6.677
_cell_length_b 6.677
_cell_length_c 13.141
_cell_angle_alpha 90.00
_cell_angle_beta 90.00
_cell_angle_gamma 90.00
_space_group_name_H-M_alt 'I -4 2 d'
_space_group_IT_number 122
_space_group_name_Hall 'I -4 2bw'
loop_
_atom_site_label
_atom_site_fract_x
_atom_site_fract_y
_atom_site_fract_z
Sc1 0.000 0.000 0.000
Al1 0.000 0.000 0.500
Te1 0.238 0.250 0.125
# calculated volume: 36.62 Å³ per atom
# E_form (uncorrected): -0.41 eV/atom

=====

Entry 10:
# CuTeRh2 (PBE, optimized geometry)
data_CuTeRh2
_chemical_formula_sum 'Cu1 Te1 Rh2'
_cell_length_a 4.121
_cell_length_b 4.121
_cell_length_c 3.653
_cell_angle_alpha 90.00
_cell_angle_beta 90.00
_cell_angle_gamma 90.00
_space_group_name_H-M_alt 'P 4/m m m'
_space_group_IT_number 123
_space_group_name_Hall '-P 4 2'
loop_
_atom_site_label
_atom_site_fract_x
_atom_site_fract_y
_atom_site_fract_z
Cu1 0.000 0.000 0.000
Te1 0.500 0.500 0.000
Rh1 0.000 0.500 0.500
# calculated volume: 15.51 Å³ per atom
# E_form (uncorrected): -0.01 eV/atom

=====

Entry 11:
# K2NdPuTe4 (PBE, optimized geometry)
data_K2NdPuTe4
_chemical_formula_sum 'K2 Nd1 Pu1 Te4'
_cell_length_a 7.975
_cell_length_b 4.604
_cell_length_c 8.638
_cell_angle_alpha 90.00
_cell_angle_beta 108.00
_cell_angle_gamma 90.00
_space_group_name_H-M_alt 'P 1 2/m 1'
_space_group_IT_number 10
loop_
_space_group_symop_operation_xyz
'x,y,z'
'-x,-y,-z'
'-x,y,-z'
'x,-y,z'
loop_
_atom_site_label
_atom_site_fract_x
_atom_site_fract_y
_atom_site_fract_z
K1 0.000 0.000 0.000
K2 0.500 0.500 0.000
Nd1 0.000 0.500 0.500
Pu1 0.500 0.000 0.500
Te1 0.240 0.000 0.714
Te2 0.267 0.500 0.290
# calculated volume: 37.70 Å³ per atom
# E_form (uncorrected): -1.26 eV/atom

=====

Entry 12:
# TiW (PBE, optimized geometry)
data_TiW
_chemical_formula_sum 'Ti2 W2'
_cell_length_a 4.4642
_cell_length_b 4.4642
_cell_length_c 5.0921
_cell_angle_alpha 90.00
_cell_angle_beta 90.00
_cell_angle_gamma 120.00
_space_group_name_H-M_alt 'P 63/m m c'
_space_group_IT_number 194
_space_group_name_Hall '-P 6c 2c'
loop_
_atom_site_label
_atom_site_fract_x
_atom_site_fract_y
_atom_site_fract_z
Ti1 0.3333 0.6667 0.2500
W1 0.3333 0.6667 0.7500
# calculated volume: 21.97 Å³ per atom
# energy of formation: 1.79 eV per atom